1.
DFT (PBE) results for an optimized crystal structure of Ba2NaNd.

Summary:
The calculation puts the formation energy at 0.305 eV/atom. The value obtained for the energy above the most stable polymorph in this dataset is 168 meV/atom. The value obtained for the density of states at the Fermi level is 5.9 states/eV/cell. The space group is R-3m (166).

a b c (Å): 14.401 14.401 14.401
angles (deg): 15.58 15.58 15.58
Fractional coordinates of all 4 atoms:
Ba 0.086 0.086 0.086
Ba 0.914 0.914 0.914
Na 0.500 0.500 0.500
Nd 0.000 0.000 0.000


2.
DFT (PBE) results for an optimized crystal structure of Ba2NaNd.

Summary:
The calculation puts the formation energy at 0.137 eV/atom. The value obtained for the energy above the most stable polymorph in this dataset is 0 meV/atom. The value obtained for the density of states at the Fermi level is 7.6 states/eV/cell. The space group is P4/mmm (123).

a b c (Å): 4.047 4.047 11.717
angles (deg): 90.00 90.00 90.00
Fractional coordinates of all 4 atoms:
Ba 0.000 0.000 0.246
Ba 0.000 0.000 0.754
Na 0.500 0.500 0.500
Nd 0.500 0.500 0.000


3.
DFT (PBE) results for an optimized crystal structure of Ba2NaNd.

Summary:
The calculation puts the formation energy at 0.142 eV/atom. The value obtained for the energy above the most stable polymorph in this dataset is 5 meV/atom. The value obtained for the density of states at the Fermi level is 4.9 states/eV/cell. The space group is R3m (160).

a b c (Å): 13.370 13.370 13.370
angles (deg): 17.65 17.65 17.65
Fractional coordinates of all 4 atoms:
Ba 0.000 0.000 0.000
Ba 0.161 0.161 0.161
Na 0.580 0.580 0.580
Nd 0.414 0.414 0.414


4.
DFT (PBE) results for an optimized crystal structure of Ba2NaNdO4.

Summary:
The value obtained for the density of states at the Fermi level is 0.0 states/eV/cell. The formation energy from raw total energies comes out at -2.44 eV/atom. The space group is P2/m (10).

a b c (Å): 6.412 3.780 6.499
angles (deg): 90.00 108.35 90.00
Fractional coordinates of all 8 atoms:
Ba 0.000 0.000 0.000
Ba 0.500 0.500 0.000
Na 0.000 0.500 0.500
Nd 0.500 0.000 0.500
O 0.272 0.000 0.734
O 0.275 0.500 0.282
O 0.725 0.500 0.718
O 0.728 0.000 0.266


5.
DFT (PBE) results for an optimized crystal structure of BaNaNdSeO6.

Summary:
The value obtained for the density of states at the Fermi level is 0.0 states/eV/cell. The formation energy from raw total energies comes out at -1.94 eV/atom. The space group is F-43m (216).

a b c (Å): 5.869 5.869 5.869
angles (deg): 60.00 60.00 60.00
Fractional coordinates of all 10 atoms:
Ba 0.000 0.000 0.000
Na 0.500 0.500 0.500
Nd 0.250 0.250 0.250
Se 0.750 0.750 0.750
O 0.529 0.529 0.971
O 0.529 0.971 0.529
O 0.529 0.971 0.971
O 0.971 0.529 0.529
O 0.971 0.529 0.971
O 0.971 0.971 0.529


6.
DFT (PBE) results for an optimized crystal structure of Ba4NaNd3Se8.

Summary:
The value obtained for the density of states at the Fermi level is 4.9 states/eV/cell. The formation energy from raw total energies comes out at -1.88 eV/atom. The space group is R-3m (166).

a b c (Å): 8.989 8.989 8.989
angles (deg): 59.23 59.23 59.23
Fractional coordinates of all 16 atoms:
Ba 0.000 0.000 0.000
Ba 0.000 0.500 0.500
Ba 0.500 0.000 0.500
Ba 0.500 0.500 0.000
Na 0.500 0.500 0.500
Nd 0.000 0.000 0.500
Nd 0.000 0.500 0.000
Nd 0.500 0.000 0.000
Se 0.235 0.744 0.744
Se 0.241 0.241 0.241
Se 0.256 0.256 0.765
Se 0.256 0.765 0.256
Se 0.744 0.235 0.744
Se 0.744 0.744 0.235
Se 0.759 0.759 0.759
Se 0.765 0.256 0.256